## CeSiAg (PBE)

Data for CeSiAg after structural relaxation.

```
CeSiAg
1.0
2.0827 -8.2235 0.0000
2.0827 8.2235 0.0000
0.0000 0.0000 3.8096
Ce Si Ag
2 2 2
direct
0.0996 0.9004 0.7500
0.9004 0.0996 0.2500
0.4573 0.5427 0.7500
0.5427 0.4573 0.2500
0.2888 0.7112 0.7500
0.7112 0.2888 0.2500
```

Values from the calculation:
Its crystal system is orthorhombic. As for the energy: -5.18 eV/atom. Its total magnetization is 0.676 μB per formula unit. The calculated volume comes out at 21.749 A^3/atom.

=====

## Ag3Au2Br8 (PBE)

Data for Ag3Au2Br8 after structural relaxation.

```
Ag3Au2Br8
1.0
7.6086 0.0000 0.0000
-3.3341 7.2352 0.0000
-3.6304 -1.7600 7.6541
Ag Au Br
3 2 8
direct
0.0000 0.0000 0.0000
0.0067 0.8570 0.6800
0.9933 0.1430 0.3200
0.0046 0.6140 0.2549
0.9954 0.3860 0.7451
0.2067 0.2258 0.7089
0.2249 0.4557 0.2414
0.2866 0.9309 0.2397
0.2895 0.6991 0.7463
0.7105 0.3009 0.2537
0.7134 0.0691 0.7603
0.7751 0.5443 0.7586
0.7933 0.7742 0.2911
```

Values from the calculation:
Its crystal system is triclinic. As for the energy: -2.40 eV/atom. Its total magnetization is 0.000 μB per formula unit. The calculated volume comes out at 32.412 A^3/atom.

=====

## Ce2DyMg2In2 (PBE)

Data for Ce2DyMg2In2 after structural relaxation.

```
Ce2DyMg2In2
1.0
2.4332 1.4048 8.8376
-2.4332 1.4048 8.8376
0.0000 -2.8096 8.8376
Ce Dy Mg In
2 1 2 2
direct
0.1428 0.1428 0.1428
0.8572 0.8572 0.8572
0.0000 0.0000 0.0000
0.4069 0.4069 0.4069
0.5931 0.5931 0.5931
0.2699 0.2699 0.2699
0.7301 0.7301 0.7301
```

Values from the calculation:
Its crystal system is trigonal. As for the energy: -3.77 eV/atom. Its total magnetization is 2.460 μB per formula unit. For the formation enthalpy at 0 K, the calculation gives -0.1804 eV per atom. The calculated volume comes out at 25.892 A^3/atom.

=====

## HfTe2RhN (PBE)

Data for HfTe2RhN after structural relaxation.

```
HfTe2RhN
1.0
5.4120 0.0000 0.0000
0.0000 5.4120 0.0000
0.0000 0.0000 3.6750
Hf Te Rh N
1 2 1 1
direct
0.0000 0.0000 0.0000
0.0000 0.5000 0.5000
0.5000 0.0000 0.5000
0.5000 0.5000 0.5000
0.5000 0.5000 0.0000
```

Values from the calculation:
Its crystal system is tetragonal. As for the energy: -6.08 eV/atom. Its energy above the most stable polymorph in this dataset is 0.00 eV/f.u. Its total magnetization is 0.001 μB per formula unit. The calculated volume comes out at 21.528 A^3/atom.

=====

## ErTm2PuP4 (PBE)

Data for ErTm2PuP4 after structural relaxation.

```
ErTm2PuP4
1.0
6.8503 0.0000 0.0000
0.0000 3.9698 0.0000
-2.2879 0.0000 6.4598
Er Tm Pu P
1 2 1 4
direct
0.0000 0.0000 0.0000
0.5000 0.0000 0.5000
0.5000 0.5000 0.0000
0.0000 0.5000 0.5000
0.2498 0.0000 0.7489
0.2507 0.5000 0.2511
0.7493 0.5000 0.7489
0.7502 0.0000 0.2511
```

Values from the calculation:
Its crystal system is monoclinic. As for the energy: -7.67 eV/atom. Its total magnetization is 4.879 μB per formula unit. For the formation enthalpy at 0 K, the calculation gives -1.4838 eV per atom. The calculated volume comes out at 21.958 A^3/atom.

=====

## Ca9Mg2Zn (PBE)

Data for Ca9Mg2Zn after structural relaxation.

```
Ca9Mg2Zn
1.0
5.9519 -3.4372 0.0000
5.9519 3.4372 0.0000
-3.9581 0.0000 12.1566
Ca Mg Zn
9 2 1
direct
0.0000 0.0000 0.0000
0.0911 0.0911 0.7665
0.0913 0.5841 0.7668
0.1667 0.1667 0.4995
0.4159 0.9087 0.2332
0.5841 0.0913 0.7668
0.8333 0.8333 0.5005
0.9087 0.4159 0.2332
0.9089 0.9089 0.2335
0.3464 0.3464 0.0393
0.6536 0.6536 0.9607
0.5000 0.5000 0.5000
```

Values from the calculation:
Its crystal system is monoclinic. As for the energy: -1.51 eV/atom. Its total magnetization is 0.000 μB per formula unit. For the formation enthalpy at 0 K, the calculation gives 0.3613 eV per atom. The calculated volume comes out at 41.450 A^3/atom.

=====

## LaPmY2N4 (PBE)

Data for LaPmY2N4 after structural relaxation.

```
LaPmY2N4
1.0
6.2020 0.0000 0.0000
0.0000 3.5787 0.0000
-2.0624 0.0000 5.8597
La Pm Y N
1 1 2 4
direct
0.0000 0.0000 0.0000
0.5000 0.5000 0.0000
0.0000 0.5000 0.5000
0.5000 0.0000 0.5000
0.2496 0.0000 0.7407
0.2570 0.5000 0.2621
0.7430 0.5000 0.7379
0.7504 0.0000 0.2593
```

Values from the calculation:
Its crystal system is monoclinic. As for the energy: -8.50 eV/atom. Its total magnetization is 0.000 μB per formula unit. The calculated volume comes out at 16.257 A^3/atom.

=====

## TaRuW2 (PBE)

Data for TaRuW2 after structural relaxation.

```
TaRuW2
1.0
3.1829 0.0000 0.0000
0.0000 3.1829 0.0000
0.0000 0.0000 6.3612
Ta Ru W
1 1 2
direct
0.0000 0.0000 0.0000
0.5000 0.5000 0.7560
0.0000 0.0000 0.4937
0.5000 0.5000 0.2586
```

Values from the calculation:
Its crystal system is tetragonal. As for the energy: -11.83 eV/atom. Its energy above the most stable polymorph in this dataset is 0.00 eV/f.u. Its total magnetization is 0.000 μB per formula unit. For the formation enthalpy at 0 K, the calculation gives -0.0763 eV per atom. The calculated volume comes out at 16.111 A^3/atom.

=====

## Y2Ho5Mg (PBE)

Data for Y2Ho5Mg after structural relaxation.

```
Y2Ho5Mg
1.0
3.5542 0.0000 0.0000
0.0264 8.6032 0.0000
1.7510 2.5881 16.0690
Y Ho Mg
4 10 2
direct
0.0193 0.3083 0.4586
0.2268 0.3197 0.0422
0.7732 0.6803 0.9578
0.9807 0.6917 0.5414
0.1765 0.6194 0.1541
0.2930 0.0342 0.9110
0.3737 0.7146 0.7550
0.4211 0.3666 0.6547
0.4480 0.0125 0.5932
0.5520 0.9875 0.4068
0.5789 0.6334 0.3453
0.6263 0.2854 0.2450
0.7070 0.9658 0.0890
0.8235 0.3806 0.8459
0.1279 0.9458 0.2508
0.8721 0.0542 0.7492
```

Values from the calculation:
Its crystal system is triclinic. As for the energy: -4.62 eV/atom. Its total magnetization is 0.002 μB per formula unit. For the formation enthalpy at 0 K, the calculation gives 0.0528 eV per atom. The calculated volume comes out at 30.709 A^3/atom.

=====

## Ac2In5Ag12 (PBE)

Data for Ac2In5Ag12 after structural relaxation.

```
Ac2In5Ag12
1.0
5.0134 2.8945 4.8483
-5.0134 2.8945 4.8483
0.0000 -5.7889 4.8483
Ac In Ag
2 5 12
direct
0.1558 0.1558 0.1558
0.8442 0.8442 0.8442
0.0000 0.5000 0.5000
0.4022 0.4022 0.4022
0.5000 0.0000 0.5000
0.5000 0.5000 0.0000
0.5978 0.5978 0.5978
0.1465 0.1465 0.6601
0.1465 0.6601 0.1465
0.1961 0.5000 0.8039
0.1961 0.8040 0.5000
0.3399 0.8535 0.8535
0.5000 0.1961 0.8039
0.5000 0.8039 0.1961
0.6601 0.1465 0.1465
0.8039 0.1961 0.5000
0.8039 0.5000 0.1961
0.8535 0.3399 0.8535
0.8535 0.8535 0.3399
```

Values from the calculation:
Its crystal system is trigonal. As for the energy: -3.12 eV/atom. Its total magnetization is 0.000 μB per formula unit. For the formation enthalpy at 0 K, the calculation gives -0.1621 eV per atom. The calculated volume comes out at 22.217 A^3/atom.

=====

## Ca2SiNi (PBE)

Data for Ca2SiNi after structural relaxation.

```
Ca2SiNi
1.0
4.1405 0.0000 0.0000
0.0000 2.2747 5.0099
0.0000 -2.2747 5.0099
Ca Si Ni
2 1 1
direct
0.0000 0.0000 0.0000
0.5000 0.2907 0.2907
0.5000 0.6004 0.6004
0.0000 0.6901 0.6901
```

Values from the calculation:
Its crystal system is orthorhombic. As for the energy: -4.20 eV/atom. Its total magnetization is 0.000 μB per formula unit. The calculated volume comes out at 23.592 A^3/atom.

=====

## DyTm4 (PBE)

Data for DyTm4 after structural relaxation.

```
DyTm4
1.0
5.5333 0.0000 0.0000
0.0000 5.5333 0.0000
0.0000 0.0000 5.5333
Dy Tm
1 4
direct
0.0000 0.0000 0.0000
0.0000 0.0000 0.5000
0.0000 0.5000 0.0000
0.5000 0.0000 0.0000
0.5000 0.5000 0.5000
```

Values from the calculation:
Its crystal system is cubic. As for the energy: -3.73 eV/atom. Its energy above the most stable polymorph in this dataset is 3.69 eV/f.u. Its total magnetization is 0.002 μB per formula unit. For the formation enthalpy at 0 K, the calculation gives 0.7663 eV per atom. The calculated volume comes out at 33.882 A^3/atom.

=====

## ScTaTc (PBE)

Data for ScTaTc after structural relaxation.

```
ScTaTc
1.0
-1.3917 2.3583 4.0596
1.3917 -2.3583 4.0596
1.3917 2.3583 -4.0596
Sc Ta Tc
1 1 1
direct
0.0000 0.0000 0.0000
0.6587 0.6587 0.0000
0.3337 0.3337 0.0000
```

Values from the calculation:
Its crystal system is orthorhombic. As for the energy: -9.38 eV/atom. Its energy above the most stable polymorph in this dataset is 1.02 eV/f.u. Its total magnetization is 0.000 μB per formula unit. For the formation enthalpy at 0 K, the calculation gives 0.1319 eV per atom. The calculated volume comes out at 17.765 A^3/atom.

=====

## ScTlP2O (PBE)

Data for ScTlP2O after structural relaxation.

```
ScTlP2O
1.0
5.2991 0.0000 0.0000
0.0000 5.2991 0.0000
0.0000 0.0000 3.8651
Sc Tl P O
1 1 2 1
direct
0.0000 0.0000 0.0000
0.5000 0.5000 0.5000
0.0000 0.5000 0.0000
0.5000 0.0000 0.0000
0.0000 0.0000 0.5000
```

Values from the calculation:
Its crystal system is tetragonal. As for the energy: -5.28 eV/atom. Its energy above the most stable polymorph in this dataset is 0.00 eV/f.u. Its total magnetization is 0.000 μB per formula unit. The calculated volume comes out at 21.707 A^3/atom.

=====

## CePm4 (PBE)

Data for CePm4 after structural relaxation.

```
CePm4
1.0
-4.7814 4.7814 1.8258
4.7814 -4.7814 1.8258
4.7814 4.7814 -1.8258
Ce Pm
1 4
direct
0.0000 0.0000 0.0000
0.2077 0.5934 0.8011
0.4066 0.2077 0.6142
0.5934 0.7923 0.3858
0.7923 0.4066 0.1989
```

Values from the calculation:
Its crystal system is tetragonal. As for the energy: -4.84 eV/atom. Its energy above the most stable polymorph in this dataset is 0.00 eV/f.u. Its total magnetization is 1.387 μB per formula unit. For the formation enthalpy at 0 K, the calculation gives 0.1499 eV per atom. The calculated volume comes out at 33.393 A^3/atom.

=====

## KSc2Te (PBE)

Data for KSc2Te after structural relaxation.

```
KSc2Te
1.0
3.7955 0.0000 0.0000
0.0000 3.7956 0.0000
-0.0070 0.0000 8.7573
K Sc Te
1 2 1
direct
0.0000 0.0000 0.0000
0.0020 0.0000 0.4400
0.5021 0.5000 0.6385
0.5018 0.5000 0.2915
```

Values from the calculation:
Its crystal system is monoclinic. As for the energy: -4.63 eV/atom. Its total magnetization is 0.864 μB per formula unit. The calculated volume comes out at 31.540 A^3/atom.

=====

## HfVPCl2 (PBE)

Data for HfVPCl2 after structural relaxation.

```
HfVPCl2
1.0
4.8519 0.0000 0.0000
0.0000 4.8519 0.0000
0.0000 0.0000 5.1800
Hf V P Cl
1 1 1 2
direct
0.0000 0.0000 0.0000
0.5000 0.5000 0.5000
0.0000 0.0000 0.5000
0.0000 0.5000 0.0000
0.5000 0.0000 0.0000
```

Values from the calculation:
Its crystal system is tetragonal. As for the energy: -5.78 eV/atom. Its energy above the most stable polymorph in this dataset is 0.00 eV/f.u. Its total magnetization is 3.646 μB per formula unit. The calculated volume comes out at 24.389 A^3/atom.

=====

## La6HgOs (PBE)

Data for La6HgOs after structural relaxation.

```
La6HgOs
1.0
7.1285 0.0000 0.0000
3.5616 6.1925 0.0000
3.5462 2.0582 6.8524
La Hg Os
6 1 1
direct
0.0474 0.4136 0.2583
0.2202 0.9533 0.7420
0.4137 0.7806 0.2582
0.5863 0.2194 0.7418
0.7798 0.0467 0.2580
0.9526 0.5864 0.7417
0.5000 0.5000 0.0000
0.0000 0.0000 0.5000
```

Values from the calculation:
Its crystal system is triclinic. As for the energy: -5.21 eV/atom. Its energy above the most stable polymorph in this dataset is 0.00 eV/f.u. Its total magnetization is 0.000 μB per formula unit. For the formation enthalpy at 0 K, the calculation gives -0.0686 eV per atom. The calculated volume comes out at 37.811 A^3/atom.

=====

## AcTcGe2Os (PBE)

Data for AcTcGe2Os after structural relaxation.

```
AcTcGe2Os
1.0
-2.1916 2.1916 5.2616
2.1916 -2.1916 5.2616
2.1916 2.1916 -5.2616
Ac Tc Ge Os
1 1 2 1
direct
0.0000 0.0000 0.0000
0.7500 0.2500 0.5000
0.3633 0.3633 0.0000
0.6367 0.6367 0.0000
0.2500 0.7500 0.5000
```

Values from the calculation:
Its crystal system is tetragonal. As for the energy: -7.37 eV/atom. Its total magnetization is 0.000 μB per formula unit. For the formation enthalpy at 0 K, the calculation gives -0.3789 eV per atom. The calculated volume comes out at 20.217 A^3/atom.

=====

## Te6MoBr3 (PBE)

Data for Te6MoBr3 after structural relaxation.

```
Te6MoBr3
1.0
8.9465 0.0000 0.0000
3.2054 11.7175 0.0000
1.7029 1.8223 14.4840
Te Mo Br
24 4 12
direct
0.0531 0.3091 0.0528
0.0683 0.2534 0.7930
0.1506 0.9824 0.1223
0.1697 0.9286 0.8782
0.1766 0.6637 0.0751
0.2360 0.5350 0.4853
0.2401 0.7623 0.6420
0.2926 0.2022 0.9258
0.3203 0.8396 0.4581
0.3618 0.2057 0.4880
0.3886 0.4330 0.6409
0.4361 0.3142 0.3122
0.5639 0.6858 0.6878
0.6114 0.5671 0.3591
0.6382 0.7943 0.5120
0.6797 0.1604 0.5419
0.7074 0.7978 0.0742
0.7599 0.2377 0.3580
0.7640 0.4650 0.5147
0.8234 0.3363 0.9249
0.8303 0.0714 0.1218
0.8494 0.0176 0.8777
0.9317 0.7466 0.2070
0.9469 0.6909 0.9472
0.0241 0.1172 0.9677
0.4742 0.6158 0.5321
0.5258 0.3842 0.4679
0.9759 0.8828 0.0323
0.0254 0.8445 0.4161
0.1209 0.4074 0.2960
0.2479 0.6122 0.8366
0.3559 0.1145 0.6963
0.3673 0.6864 0.2145
0.4843 0.1374 0.0855
0.5157 0.8626 0.9145
0.6327 0.3136 0.7855
0.6441 0.8855 0.3037
0.7521 0.3878 0.1634
0.8791 0.5926 0.7040
0.9746 0.1555 0.5839
```

Values from the calculation:
Its crystal system is triclinic. As for the energy: -3.74 eV/atom. Its total magnetization is 0.000 μB per formula unit. The calculated volume comes out at 37.959 A^3/atom.